1.
Material: Dy2NpScP4
Method: DFT, PBE
State: optimized geometry

Properties
As for the total magnetic moment: 3.53 μB/f.u. The calculation puts the energy of formation from the pure elements at -1.38 eV/atom. Its crystal system is monoclinic. Its raw total energy is -7.64 eV per atom.

abc: 3.929 6.787 6.811
angles: 109.29 90.00 90.00
Last column: magnetic moment on the atom in μB.
Positions (direct):
Dy (0.500, 0.000, 0.500)  0.03
Dy (0.000, 0.500, 0.500)  0.02
Np (0.000, 0.000, 0.000)  3.40
Sc (0.500, 0.500, 0.000)  0.04
P (0.500, 0.251, 0.241)  -0.07
P (0.500, 0.749, 0.759)  -0.07
P (0.000, 0.257, 0.763)  -0.04
P (0.000, 0.743, 0.237)  -0.04


2.
Material: DyNp2ScP4
Method: DFT, PBE
State: optimized geometry

Properties
As for the total magnetic moment: 0.14 μB/f.u. The calculation puts the energy of formation from the pure elements at -1.17 eV/atom. Its crystal system is monoclinic. Its raw total energy is -8.48 eV per atom.

abc: 3.908 6.791 6.788
angles: 109.41 90.00 90.00
Last column: magnetic moment on the atom in μB.
Positions (direct):
Dy (0.000, 0.000, 0.000)  0.01
Np (0.500, 0.000, 0.500)  3.52
Np (0.000, 0.500, 0.500)  -3.40
Sc (0.500, 0.500, 0.000)  0.00
P (0.500, 0.258, 0.250)  0.03
P (0.500, 0.742, 0.750)  0.03
P (0.000, 0.258, 0.755)  -0.03
P (0.000, 0.742, 0.245)  -0.03


3.
Material: DyNpSc2P4
Method: DFT, PBE
State: optimized geometry

Properties
As for the total magnetic moment: 3.55 μB/f.u. The calculation puts the energy of formation from the pure elements at -1.35 eV/atom. Its crystal system is monoclinic. Its raw total energy is -7.83 eV per atom.

abc: 3.867 6.713 6.675
angles: 109.41 90.00 90.00
Last column: magnetic moment on the atom in μB.
Positions (direct):
Dy (0.500, 0.500, 0.000)  0.03
Np (0.000, 0.000, 0.000)  3.44
Sc (0.500, 0.000, 0.500)  0.03
Sc (0.000, 0.500, 0.500)  0.03
P (0.500, 0.251, 0.262)  -0.06
P (0.500, 0.749, 0.738)  -0.06
P (0.000, 0.242, 0.738)  -0.04
P (0.000, 0.758, 0.262)  -0.04


4.
Material: SmDyNp2P4
Method: DFT, PBE
State: optimized geometry

Properties
As for the total magnetic moment: 0.07 μB/f.u. The calculation puts the energy of formation from the pure elements at -1.20 eV/atom. Its crystal system is monoclinic. Its raw total energy is -8.30 eV per atom.

abc: 3.986 6.932 6.944
angles: 109.34 90.00 90.00
Last column: magnetic moment on the atom in μB.
Positions (direct):
Sm (0.500, 0.500, 0.000)  0.00
Dy (0.000, 0.000, 0.000)  0.00
Np (0.500, 0.000, 0.500)  -3.46
Np (0.000, 0.500, 0.500)  3.52
P (0.500, 0.250, 0.258)  -0.03
P (0.500, 0.750, 0.742)  -0.03
P (0.000, 0.243, 0.739)  0.03
P (0.000, 0.757, 0.261)  0.03


5.
Material: SmDy2NpP4
Method: DFT, PBE
State: optimized geometry

Properties
As for the total magnetic moment: 3.63 μB/f.u. The calculation puts the energy of formation from the pure elements at -1.41 eV/atom. Its crystal system is monoclinic. Its raw total energy is -7.47 eV per atom.

abc: 4.011 6.960 6.949
angles: 109.33 90.00 90.00
Last column: magnetic moment on the atom in μB.
Positions (direct):
Sm (0.500, 0.500, 0.000)  0.03
Dy (0.500, 0.000, 0.500)  0.02
Dy (0.000, 0.500, 0.500)  0.02
Np (0.000, 0.000, 0.000)  3.52
P (0.500, 0.244, 0.248)  -0.07
P (0.500, 0.756, 0.752)  -0.07
P (0.000, 0.242, 0.749)  -0.04
P (0.000, 0.758, 0.251)  -0.04


6.
Material: Sr2DyNpP4
Method: DFT, PBE
State: optimized geometry

Properties
As for the total magnetic moment: 1.99 μB/f.u. The calculation puts the energy of formation from the pure elements at -1.11 eV/atom. Its crystal system is monoclinic. Its raw total energy is -6.43 eV per atom.

abc: 4.150 7.114 7.314
angles: 108.86 90.00 90.00
Last column: magnetic moment on the atom in μB.
Positions (direct):
Sr (0.500, 0.000, 0.500)  -0.01
Sr (0.000, 0.500, 0.500)  -0.03
Dy (0.500, 0.500, 0.000)  -0.04
Np (0.000, 0.000, 0.000)  2.83
P (0.500, 0.228, 0.211)  -0.10
P (0.500, 0.772, 0.789)  -0.10
P (0.000, 0.249, 0.785)  -0.09
P (0.000, 0.751, 0.215)  -0.09


7.
Material: Tb2DyNpP4
Method: DFT, PBE
State: optimized geometry

Properties
As for the total magnetic moment: 3.60 μB/f.u. The calculation puts the energy of formation from the pure elements at -1.42 eV/atom. Its crystal system is monoclinic. Its raw total energy is -7.48 eV per atom.

abc: 3.995 6.925 6.927
angles: 109.32 90.00 90.00
Last column: magnetic moment on the atom in μB.
Positions (direct):
Tb (0.500, 0.000, 0.500)  0.03
Tb (0.000, 0.500, 0.500)  0.03
Dy (0.000, 0.000, 0.000)  0.02
Np (0.500, 0.500, 0.000)  3.49
P (0.500, 0.253, 0.245)  -0.04
P (0.500, 0.747, 0.755)  -0.04
P (0.000, 0.255, 0.756)  -0.07
P (0.000, 0.745, 0.244)  -0.07


8.
Material: TbDyNp2P4
Method: DFT, PBE
State: optimized geometry

Properties
As for the total magnetic moment: 7.30 μB/f.u. The calculation puts the energy of formation from the pure elements at -1.24 eV/atom. Its crystal system is monoclinic. Its raw total energy is -8.33 eV per atom.

abc: 3.981 6.897 6.902
angles: 109.45 90.00 90.00
Last column: magnetic moment on the atom in μB.
Positions (direct):
Tb (0.500, 0.500, 0.000)  0.02
Dy (0.000, 0.000, 0.000)  0.01
Np (0.500, 0.000, 0.500)  3.53
Np (0.000, 0.500, 0.500)  3.54
P (0.500, 0.252, 0.257)  -0.08
P (0.500, 0.748, 0.743)  -0.08
P (0.000, 0.247, 0.742)  -0.08
P (0.000, 0.753, 0.258)  -0.08


9.
Material: DyThNp2P4
Method: DFT, PBE
State: optimized geometry

Properties
As for the total magnetic moment: 0.02 μB/f.u. The calculation puts the energy of formation from the pure elements at -1.20 eV/atom. Its crystal system is monoclinic. Its raw total energy is -8.64 eV per atom.

abc: 4.023 6.973 6.958
angles: 109.54 90.00 90.00
Last column: magnetic moment on the atom in μB.
Positions (direct):
Dy (0.000, 0.000, 0.000)  -0.01
Th (0.500, 0.500, 0.000)  -0.01
Np (0.500, 0.000, 0.500)  -3.54
Np (0.000, 0.500, 0.500)  3.59
P (0.500, 0.249, 0.258)  -0.03
P (0.500, 0.751, 0.742)  -0.03
P (0.000, 0.241, 0.739)  0.03
P (0.000, 0.759, 0.261)  0.03


10.
Material: DyTh2NpP4
Method: DFT, PBE
State: optimized geometry

Properties
As for the total magnetic moment: 4.08 μB/f.u. The calculation puts the energy of formation from the pure elements at -1.39 eV/atom. Its crystal system is monoclinic. Its raw total energy is -8.14 eV per atom.

abc: 4.082 7.057 7.024
angles: 109.63 90.00 90.00
Last column: magnetic moment on the atom in μB.
Positions (direct):
Dy (0.000, 0.000, 0.000)  0.03
Th (0.500, 0.000, 0.500)  0.05
Th (0.000, 0.500, 0.500)  0.05
Np (0.500, 0.500, 0.000)  3.67
P (0.500, 0.249, 0.241)  -0.02
P (0.500, 0.751, 0.759)  -0.02
P (0.000, 0.256, 0.761)  -0.05
P (0.000, 0.744, 0.239)  -0.05


11.
Material: DyTmNp2P4
Method: DFT, PBE
State: optimized geometry

Properties
As for the total magnetic moment: 7.31 μB/f.u. The calculation puts the energy of formation from the pure elements at -1.24 eV/atom. Its crystal system is monoclinic. Its raw total energy is -8.31 eV per atom.

abc: 3.963 6.865 6.861
angles: 109.48 90.00 90.00
Last column: magnetic moment on the atom in μB.
Positions (direct):
Dy (0.000, 0.000, 0.000)  0.01
Tm (0.500, 0.500, 0.000)  0.00
Np (0.500, 0.000, 0.500)  3.56
Np (0.000, 0.500, 0.500)  3.52
P (0.500, 0.254, 0.255)  -0.08
P (0.500, 0.746, 0.745)  -0.08
P (0.000, 0.251, 0.746)  -0.08
P (0.000, 0.749, 0.254)  -0.08


12.
Material: Dy2NpUP4
Method: DFT, PBE
State: optimized geometry

Properties
As for the total magnetic moment: 5.88 μB/f.u. The calculation puts the energy of formation from the pure elements at -1.27 eV/atom. Its crystal system is monoclinic. Its raw total energy is -8.15 eV per atom.

abc: 3.960 6.850 6.924
angles: 109.29 90.00 90.00
Last column: magnetic moment on the atom in μB.
Positions (direct):
Dy (0.500, 0.000, 0.500)  0.02
Dy (0.000, 0.500, 0.500)  0.01
Np (0.000, 0.000, 0.000)  3.58
U (0.500, 0.500, 0.000)  1.98
P (0.500, 0.249, 0.244)  -0.07
P (0.500, 0.751, 0.756)  -0.07
P (0.000, 0.253, 0.755)  -0.06
P (0.000, 0.747, 0.245)  -0.06


13.
Material: DyNp2PaSb4
Method: DFT, PBE
State: optimized geometry

Properties
As for the total magnetic moment: 9.19 μB/f.u. Its crystal system is monoclinic. Its energy relative to the elements, uncorrected is -501.1 meV/atom. Its raw total energy is -7.56 eV per atom.

abc: 4.397 7.615 7.577
angles: 109.55 90.00 90.00
Last column: magnetic moment on the atom in μB.
Positions (direct):
Dy (0.000, 0.000, 0.000)  -0.03
Np (0.500, 0.000, 0.500)  3.97
Np (0.000, 0.500, 0.500)  3.97
Pa (0.500, 0.500, 0.000)  0.73
Sb (0.500, 0.250, 0.248)  -0.06
Sb (0.500, 0.750, 0.752)  -0.06
Sb (0.000, 0.250, 0.752)  -0.05
Sb (0.000, 0.750, 0.248)  -0.05


14.
Material: Dy2NpPaSb4
Method: DFT, PBE
State: optimized geometry

Properties
As for the total magnetic moment: 5.02 μB/f.u. Its crystal system is monoclinic. Its energy relative to the elements, uncorrected is -729.0 meV/atom. Its raw total energy is -6.75 eV per atom.

abc: 4.377 7.566 7.627
angles: 109.36 90.00 90.00
Last column: magnetic moment on the atom in μB.
Positions (direct):
Dy (0.500, 0.000, 0.500)  0.01
Dy (0.000, 0.500, 0.500)  -0.02
Np (0.000, 0.000, 0.000)  3.97
Pa (0.500, 0.500, 0.000)  0.78
Sb (0.500, 0.252, 0.251)  -0.04
Sb (0.500, 0.748, 0.749)  -0.04
Sb (0.000, 0.251, 0.749)  -0.03
Sb (0.000, 0.749, 0.251)  -0.03


15.
Material: DyNpPd6
Method: DFT, PBE
State: optimized geometry

Properties
As for the total magnetic moment: 3.01 μB/f.u. The calculation puts the energy of formation from the pure elements at -0.68 eV/atom. Its crystal system is tetragonal. Its raw total energy is -6.77 eV per atom.

abc: 4.125 4.125 8.260
angles: 90.00 90.00 90.00
Last column: magnetic moment on the atom in μB.
Positions (direct):
Dy (0.000, 0.000, 0.000)  -0.02
Np (0.000, 0.000, 0.500)  3.26
Pd (0.500, 0.500, 0.000)  -0.02
Pd (0.500, 0.500, 0.500)  -0.08
Pd (0.500, 0.000, 0.253)  -0.04
Pd (0.500, 0.000, 0.747)  -0.04
Pd (0.000, 0.500, 0.253)  -0.04
Pd (0.000, 0.500, 0.747)  -0.04


16.
Material: DyNpPd4
Method: DFT, PBE
State: optimized geometry

Properties
As for the total magnetic moment: 4.23 μB/f.u. The calculation puts the energy of formation from the pure elements at -0.52 eV/atom. Its crystal system is cubic. Its raw total energy is -6.91 eV per atom.

abc: 5.443 5.443 5.443
angles: 60.00 60.00 60.00
Last column: magnetic moment on the atom in μB.
Positions (direct):
Np (0.000, 0.000, 0.000)  3.96
Pd (0.625, 0.625, 0.125)  -0.07
Pd (0.625, 0.125, 0.625)  -0.07
Pd (0.625, 0.625, 0.625)  -0.07
Pd (0.125, 0.625, 0.625)  -0.07
Dy (0.250, 0.250, 0.250)  0.23


17.
Material: DyNp2Pd9
Method: DFT, PBE
State: optimized geometry

Properties
As for the total magnetic moment: 6.51 μB/f.u. The calculation puts the energy of formation from the pure elements at -0.60 eV/atom. Its crystal system is tetragonal. Its raw total energy is -7.04 eV per atom.

abc: 4.130 4.130 12.408
angles: 90.00 90.00 90.00
Last column: magnetic moment on the atom in μB.
Positions (direct):
Dy (0.000, 0.000, 0.000)  -0.01
Np (0.000, 0.000, 0.332)  3.36
Np (0.000, 0.000, 0.668)  3.36
Pd (0.500, 0.500, 0.000)  -0.02
Pd (0.500, 0.500, 0.333)  -0.06
Pd (0.500, 0.500, 0.667)  -0.06
Pd (0.500, 0.000, 0.168)  -0.03
Pd (0.500, 0.000, 0.500)  -0.05
Pd (0.500, 0.000, 0.832)  -0.03
Pd (0.000, 0.500, 0.168)  -0.03
Pd (0.000, 0.500, 0.500)  -0.05
Pd (0.000, 0.500, 0.832)  -0.03


18.
Material: DyNpPd14
Method: DFT, PBE
State: optimized geometry

Properties
As for the total magnetic moment: 2.48 μB/f.u. The calculation puts the energy of formation from the pure elements at -0.34 eV/atom. Its crystal system is tetragonal. Its raw total energy is -5.98 eV per atom.

abc: 5.797 5.797 7.846
angles: 90.00 90.00 90.00
Last column: magnetic moment on the atom in μB.
Positions (direct):
Dy (0.875, 0.875, 0.500)  0.02
Np (0.375, 0.375, 0.500)  2.97
Pd (0.875, 0.875, 0.000)  -0.04
Pd (0.375, 0.375, 0.000)  0.03
Pd (0.875, 0.375, 0.500)  -0.03
Pd (0.875, 0.375, 0.000)  -0.06
Pd (0.375, 0.875, 0.500)  -0.03
Pd (0.375, 0.875, 0.000)  -0.06
Pd (0.622, 0.128, 0.245)  -0.06
Pd (0.622, 0.128, 0.755)  -0.06
Pd (0.128, 0.622, 0.245)  -0.06
Pd (0.128, 0.622, 0.755)  -0.06
Pd (0.622, 0.622, 0.245)  -0.06
Pd (0.622, 0.622, 0.755)  -0.06
Pd (0.128, 0.128, 0.245)  -0.06
Pd (0.128, 0.128, 0.755)  -0.06


19.
Material: Dy2NpPd9
Method: DFT, PBE
State: optimized geometry

Properties
As for the total magnetic moment: 2.58 μB/f.u. The calculation puts the energy of formation from the pure elements at -0.75 eV/atom. Its crystal system is tetragonal. Its raw total energy is -6.49 eV per atom.

abc: 4.122 4.122 12.384
angles: 90.00 90.00 90.00
Last column: magnetic moment on the atom in μB.
Positions (direct):
Dy (0.000, 0.000, 0.336)  -0.03
Dy (0.000, 0.000, 0.664)  -0.03
Np (0.000, 0.000, 0.000)  3.14
Pd (0.500, 0.500, 0.000)  -0.10
Pd (0.500, 0.500, 0.332)  -0.02
Pd (0.500, 0.500, 0.668)  -0.02
Pd (0.500, 0.000, 0.163)  -0.07
Pd (0.500, 0.000, 0.500)  -0.02
Pd (0.500, 0.000, 0.837)  -0.07
Pd (0.000, 0.500, 0.163)  -0.07
Pd (0.000, 0.500, 0.500)  -0.02
Pd (0.000, 0.500, 0.837)  -0.07


20.
Material: Dy3NpPd12
Method: DFT, PBE
State: optimized geometry

Properties
As for the total magnetic moment: 2.73 μB/f.u. The calculation puts the energy of formation from the pure elements at -0.78 eV/atom. Its crystal system is tetragonal. Its raw total energy is -6.35 eV per atom.

abc: 4.125 4.125 16.488
angles: 90.00 90.00 90.00
Last column: magnetic moment on the atom in μB.
Positions (direct):
Dy (0.000, 0.000, 0.253)  -0.02
Dy (0.000, 0.000, 0.500)  0.00
Dy (0.000, 0.000, 0.747)  -0.02
Np (0.000, 0.000, 0.000)  3.19
Pd (0.500, 0.500, 0.000)  -0.09
Pd (0.500, 0.500, 0.249)  -0.01
Pd (0.500, 0.500, 0.500)  -0.01
Pd (0.500, 0.500, 0.751)  -0.01
Pd (0.500, 0.000, 0.123)  -0.07
Pd (0.500, 0.000, 0.375)  -0.01
Pd (0.500, 0.000, 0.625)  -0.01
Pd (0.500, 0.000, 0.877)  -0.07
Pd (0.000, 0.500, 0.123)  -0.07
Pd (0.000, 0.500, 0.375)  -0.01
Pd (0.000, 0.500, 0.625)  -0.01
Pd (0.000, 0.500, 0.877)  -0.07